(1)
VASP calculation (PBE-GGA) on crystalline Li2Ca2Mg at its relaxed geometry.

Calculated values
ΔE_f: 11 meV per atom
Energy above the most stable polymorph in this dataset: 19.1 kJ/mol of formula units
Mass density: 1.333 g cm⁻³

Cell: 7.7399 7.7399 4.9210 Å, 90.00 90.00 90.00°
Last column: nearest neighbours and their distance in Å.
Space group P4/mbm (No. 127)
Unique sites:
Li (0.1261, 0.3739, 0.0000)  1 Li 2.76, 2 Mg 3.05
Ca (0.1805, 0.6805, 0.5000)  6 Li 3.25-3.44
Mg (0.0000, 0.0000, 0.0000)  4 Li 3.05

***

(2)
VASP calculation (PBE-GGA) on crystalline LiCa12Mg6 at its relaxed geometry.

Calculated values
ΔE_f: -3 meV per atom
Mass density: 1.612 g cm⁻³

Cell: 11.9915 11.9915 15.7215 Å, 90.00 90.00 120.00°
Last column: nearest neighbours and their distance in Å.
Space group R-3 (No. 148, hexagonal axes)
Unique sites:
Li (0.0000, 0.0000, 0.0000)  6 Mg 3.20, 6 Ca 3.55
Ca (0.0277, 0.8387, 0.8189)  5 Ca 3.43-3.80, 4 Mg 3.48-3.76, 1 Li 3.55
Ca (0.0534, 0.2111, 0.4099)  3 Mg 3.46-3.65, 5 Ca 3.64-3.80
Mg (0.0432, 0.5992, 0.7005)  1 Li 3.20, 2 Mg 3.33, 5 Ca 3.46-3.54

***

(3)
VASP calculation (PBE-GGA) on crystalline LiCaMg2 at its relaxed geometry.

Calculated values
ΔE_f: 143 meV per atom
Energy above the most stable polymorph in this dataset: 77.6 kJ/mol of formula units
Mass density: 1.469 g cm⁻³

Cell: 10.6407 5.8971 3.4457 Å, 90.00 90.19 90.00°
Last column: nearest neighbours and their distance in Å.
Space group C2/m (No. 12)
Unique sites:
Li (0.0000, 0.0000, 0.0000)  4 Mg 2.84-2.85, 2 Ca 2.95
Ca (0.0000, 0.5000, 0.0000)  2 Li 2.95
Mg (0.2126, 0.0000, 0.5051)  2 Li 2.84-2.85, 2 Mg 3.05

***

(4)
VASP calculation (PBE-GGA) on crystalline Li2CaMg9 at its relaxed geometry.

Calculated values
ΔE_f: -21 meV per atom
Mass density: 1.598 g cm⁻³

Cell: 9.9067 9.9067 3.3331 Å, 90.00 90.00 120.00°
Last column: nearest neighbours and their distance in Å.
Space group P6/mmm (No. 191)
Unique sites:
Li (0.3333, 0.6667, 0.0000)  9 Mg 2.86-3.08
Ca (0.0000, 0.0000, 0.0000)  2 Ca 3.33, 12 Mg 3.54
Mg (0.0000, 0.5000, 0.0000)  2 Li 2.86
Mg (0.1822, 0.3644, 0.5000)  2 Li 3.08, 8 Mg 3.13-3.33

***

(5)
VASP calculation (PBE-GGA) on crystalline Li9Ca2Mg at its relaxed geometry.

Calculated values
ΔE_f: 35 meV per atom
Mass density: 0.977 g cm⁻³

Cell: 5.9014 5.9014 18.8146 Å, 90.00 90.00 120.00°
Last column: nearest neighbours and their distance in Å.
Space group P6_3/mmc (No. 194)
Unique sites:
Li (0.0000, 0.0000, 0.0000)  6 Li 2.99
Li (0.0000, 0.0000, 0.2500)  6 Li 2.84
Li (0.1682, 0.3364, 0.1301)  7 Li 2.82-2.99
Li (0.3333, 0.6667, 0.2500)  6 Li 2.82
Ca (0.3333, 0.6667, 0.5451)  12 Li 3.36-3.70
Mg (0.3333, 0.6667, 0.7500)  18 Li 3.41-3.71

***

(6)
VASP calculation (PBE-GGA) on crystalline Li6CaMg2 at its relaxed geometry.

Calculated values
ΔE_f: 57 meV per atom
Energy above the most stable polymorph in this dataset: 14.7 kJ/mol of formula units
Mass density: 1.000 g cm⁻³

Cell: 5.1013 6.2866 13.4970 Å, 90.00 90.00 90.00°
Last column: nearest neighbours and their distance in Å.
Space group Immm (No. 71)
Unique sites:
Li (0.0000, 0.1982, 0.0000)  3 Li 2.49-2.71
Li (0.0000, 0.2434, 0.1996)  3 Li 2.71-2.89, 1 Mg 3.03
Ca (0.0000, 0.0000, 0.5000)  4 Li 3.18, 4 Mg 3.48
Mg (0.0000, 0.5000, 0.3897)  1 Mg 2.98, 10 Li 3.03-3.21

***

(7)
VASP calculation (PBE-GGA) on crystalline Li2Ca6Mg at its relaxed geometry.

Calculated values
ΔE_f: 7 meV per atom
Mass density: 1.465 g cm⁻³

Cell: 10.4098 10.7021 11.3424 Å, 90.00 90.00 90.00°
Last column: nearest neighbours and their distance in Å.
Space group Immm (No. 71)
Unique sites:
Li (0.0000, 0.0000, 0.1228)  1 Li 2.79
Li (0.1396, 0.0000, 0.5000)  1 Li 2.91
Ca (0.0000, 0.2173, 0.3189)  3 Li 3.22-3.43
Ca (0.1892, 0.2231, 0.0000)  3 Li 3.39-3.46, 1 Mg 3.56
Ca (0.1980, 0.5000, 0.2455)  2 Li 3.26-3.48, 2 Mg 3.46-3.55
Mg (0.0000, 0.5000, 0.0000)  8 Ca 3.46-3.56, 2 Li 3.75
Mg (0.0000, 0.5000, 0.5000)  8 Ca 3.55-3.66

***

(8)
VASP calculation (PBE-GGA) on crystalline LiCaMg at its relaxed geometry.

Calculated values
ΔE_f: 96 meV per atom
Energy above the most stable polymorph in this dataset: 51.0 kJ/mol of formula units
Mass density: 1.352 g cm⁻³

Cell: 3.5989 3.5989 7.8096 Å, 90.00 90.00 120.00°
Last column: nearest neighbours and their distance in Å.
Space group P3m1 (No. 156)
Unique sites:
Li (0.0000, 0.0000, 0.0000)  3 Mg 3.07
Ca (0.6667, 0.3333, 0.6432)  3 Mg 3.45, 3 Li 3.48, 6 Ca 3.60
Mg (0.3333, 0.6667, 0.2902)  3 Li 3.07

***

Q: Which of these has the highest mass density?
A: LiCa12Mg6

***

Q: Look up the ΔE_f of the seventh one.
A: 7 meV per atom